(1)
DFT (GGA-PBE) results for ZnSb2TeP after structural relaxation.

a = 5.1408 Å, b = 5.1408 Å, c = 5.2597 Å
α = 90.00°, β = 90.00°, γ = 90.00°
Closest atoms and distances in Å follow each position.
Atoms (fractional coordinates):
Zn 0.0000 0.0000 0.0000  4 Sb 2.57, 2 Te 2.63
Sb 0.0000 0.5000 0.0000  2 Zn 2.57
Sb 0.5000 0.0000 0.0000  2 Zn 2.57
Te 0.0000 0.0000 0.5000  2 Zn 2.63
P 0.5000 0.5000 0.5000  4 Te 3.64, 8 Sb 3.68

**Energy relative to the lowest polymorph listed for this composition**: 260 meV/atom
**Formation energy (no corrections)**: 0.884 eV/atom

(2)
DFT (GGA-PBE) results for K3NaPb after structural relaxation.

a = 6.8855 Å, b = 6.8855 Å, c = 6.8855 Å
α = 90.00°, β = 90.00°, γ = 90.00°
Closest atoms and distances in Å follow each position.
Atoms (fractional coordinates):
K 0.0000 0.0000 0.5000  2 Pb 3.44
K 0.0000 0.5000 0.0000  2 Pb 3.44
K 0.5000 0.0000 0.0000  2 Pb 3.44
Na 0.5000 0.5000 0.5000  12 K 4.87
Pb 0.0000 0.0000 0.0000  6 K 3.44

**Energy relative to the lowest polymorph listed for this composition**: 191 meV/atom
**Energy of formation from the pure elements**: 0.61 eV per formula unit

(3)
DFT (GGA-PBE) results for CaTe2P after structural relaxation.

a = 6.8139 Å, b = 6.8139 Å, c = 4.3535 Å
α = 108.56°, β = 108.56°, γ = 37.31°
Closest atoms and distances in Å follow each position.
Atoms (fractional coordinates):
Ca 0.0000 0.0000 0.0000  4 P 3.08, 2 Te 3.29
Te 0.2707 0.2707 0.2706  1 P 2.79, 4 Te 3.12
Te 0.7293 0.7293 0.7294  1 P 2.79, 4 Te 3.12
P 0.5000 0.5000 0.5000  2 Te 2.79, 4 Ca 3.08

**Formation energy (no corrections)**: -0.445 eV/atom

(4)
DFT (GGA-PBE) results for ErPa2O6 after structural relaxation.

a = 3.8618 Å, b = 3.8618 Å, c = 9.2494 Å
α = 90.00°, β = 90.00°, γ = 120.00°
Closest atoms and distances in Å follow each position.
Atoms (fractional coordinates):
Er 0.0000 0.0000 0.0000  8 O 2.36-2.38
Pa 0.3333 0.6667 0.6736  8 O 2.18-2.39
Pa 0.6667 0.3333 0.3264  8 O 2.18-2.39
O 0.0000 0.0000 0.2555  3 Pa 2.32, 1 Er 2.36
O 0.0000 0.0000 0.7445  3 Pa 2.32, 1 Er 2.36
O 0.3333 0.6667 0.4151  4 Pa 2.38-2.39
O 0.3333 0.6667 0.9090  1 Pa 2.18, 3 Er 2.38
O 0.6667 0.3333 0.0910  1 Pa 2.18, 3 Er 2.38
O 0.6667 0.3333 0.5849  4 Pa 2.38-2.39

**Formation energy (no corrections)**: -3.672 eV/atom